# 1
Na2AgSb PBE-GGA optimized geometry; mass density = 4.8 Mg/m³; formation energy from raw total energies = -0.176 eV per atom
1.0
-0.7658 0.4270 -4.7458
4.2166 -1.1568 -0.7845
-1.2070 -4.2709 -0.1895
Na Ag Sb
2 1 1
Direct
0.0000 0.0000 0.5000
0.0000 0.5000 0.0000
0.5000 0.0000 0.0000
0.5000 0.5000 0.5000

=====

# 2
KFeCu PBE-GGA optimized geometry; mass density = 4.0 Mg/m³; energy relative to the elements = 0.680 eV per atom
1.0
-1.6865 -0.0959 -6.1907
-0.6865 -4.5363 -4.4865
-1.1617 2.8761 5.6176
Cu K Fe
1 1 1
Direct
0.0615 0.0615 0.0000
0.3347 0.3347 0.0000
0.6038 0.6038 0.0000